The following is a DFT calculation (PBE) of a relaxed structure of TbPmCdNi.

```
data_TbPmCdNi
_space_group_name_H-M_alt 'F -4 3 m'
_space_group_IT_number 216
_space_group_name_Hall 'F -4 2 3'
_cell_length_a 7.259
_cell_length_b 7.259
_cell_length_c 7.259
_cell_angle_alpha 90.00
_cell_angle_beta 90.00
_cell_angle_gamma 90.00
loop_
_atom_site_label
_atom_site_type_symbol
_atom_site_fract_x
_atom_site_fract_y
_atom_site_fract_z
Tb1 Tb 0.000 0.000 0.000
Pm1 Pm 0.000 0.000 0.500
Cd1 Cd 0.250 0.250 0.750
Ni1 Ni 0.250 0.250 0.250
```

Summary:
spin magnetization = 0.00 Bohr magnetons per cell
energy relative to the elements = -21.7 kJ per mole of atoms